<1>
{"formula": "CaNdSmY", "functional": "PBE", "state": "relaxed", "mass_density_g_cm3": 4.99, "spacegroup": "F-43m", "cell": [[8.262, 0.000, 0.000], [0.000, 8.262, 0.000], [0.000, 0.000, 8.262]], "species": ["Ca", "Ca", "Ca", "Ca", "Nd", "Nd", "Nd", "Nd", "Sm", "Sm", "Sm", "Sm", "Y", "Y", "Y", "Y"], "fractional_positions": [[0.000, 0.000, 0.000], [0.000, 0.500, 0.500], [0.500, 0.000, 0.500], [0.500, 0.500, 0.000], [0.250, 0.250, 0.750], [0.250, 0.750, 0.250], [0.750, 0.250, 0.250], [0.750, 0.750, 0.750], [0.250, 0.250, 0.250], [0.250, 0.750, 0.750], [0.750, 0.250, 0.750], [0.750, 0.750, 0.250], [0.000, 0.000, 0.500], [0.000, 0.500, 0.000], [0.500, 0.000, 0.000], [0.500, 0.500, 0.500]]}

<2>
{"formula": "CaNdSmY", "functional": "PBE", "state": "relaxed", "mass_density_g_cm3": 4.95, "spacegroup": "P4mm", "cell": [[3.680, 0.000, 0.000], [0.000, 3.680, 0.000], [0.000, 0.000, 10.493]], "species": ["Ca", "Nd", "Sm", "Y"], "fractional_positions": [[0.000, 0.000, 0.000], [0.500, 0.500, 0.729], [0.000, 0.000, 0.493], [0.500, 0.500, 0.262]]}

Tell me which of them is the most stable. Sure, it is <2>.